Here is a geometry-optimized Pm4Ag3Au structure from the Alexandria database. Energies are from PBE.

Calculated values
Formation enthalpy at 0 K   -404 meV per atom
Energy   -4.258 eV per atom
Magnetization   0.0 μB/cell

Cell lengths 3.718, 3.718, 14.885 Å; angles 90.00, 90.00, 90.00 degrees
Fractional coordinates of all 8 atoms:
Pm  0.000  0.000  0.121
Pm  0.000  0.000  0.374
Pm  0.000  0.000  0.626
Pm  0.000  0.000  0.879
Ag  0.500  0.500  0.250
Ag  0.500  0.500  0.500
Ag  0.500  0.500  0.750
Au  0.500  0.500  0.000


Here is a geometry-optimized Pm2AgAu6 structure from the Alexandria database. Energies are from PBE.

Calculated values
Formation enthalpy at 0 K   -424 meV per atom
Energy   -3.981 eV per atom
Magnetization   0.0 μB/cell

Cell lengths 8.092, 8.092, 3.701 Å; angles 90.14, 90.14, 57.35 degrees
Fractional coordinates of all 9 atoms:
Pm  0.197  0.197  0.499
Pm  0.803  0.803  0.501
Ag  0.500  0.500  0.000
Au  0.149  0.540  0.001
Au  0.193  0.807  0.500
Au  0.460  0.851  0.999
Au  0.540  0.149  0.001
Au  0.807  0.193  0.500
Au  0.851  0.460  0.999


Here is a geometry-optimized PmAgAu6 structure from the Alexandria database. Energies are from PBE.

Calculated values
Formation enthalpy at 0 K   -283 meV per atom
Energy   -3.691 eV per atom
Magnetization   0.0 μB/cell

Cell lengths 5.441, 5.441, 5.441 Å; angles 90.00, 90.00, 90.00 degrees
Fractional coordinates of all 8 atoms:
Pm  0.000  0.000  0.000
Ag  0.500  0.500  0.500
Au  0.000  0.500  0.253
Au  0.000  0.500  0.747
Au  0.253  0.000  0.500
Au  0.500  0.253  0.000
Au  0.500  0.747  0.000
Au  0.747  0.000  0.500


Here is a geometry-optimized Pm3AgAu structure from the Alexandria database. Energies are from PBE.

Calculated values
Formation enthalpy at 0 K   -298 meV per atom
Energy   -4.374 eV per atom
Magnetization   0.0 μB/cell

Cell lengths 9.397, 9.397, 7.294 Å; angles 99.04, 99.04, 68.83 degrees
Fractional coordinates of all 20 atoms:
Pm  0.038  0.294  0.034
Pm  0.114  0.735  0.515
Pm  0.265  0.886  0.985
Pm  0.294  0.038  0.534
Pm  0.363  0.393  0.937
Pm  0.393  0.363  0.437
Pm  0.607  0.637  0.563
Pm  0.637  0.607  0.063
Pm  0.706  0.962  0.466
Pm  0.735  0.114  0.015
Pm  0.886  0.265  0.485
Pm  0.962  0.706  0.966
Ag  0.098  0.431  0.656
Ag  0.431  0.098  0.156
Ag  0.569  0.902  0.844
Ag  0.902  0.569  0.344
Au  0.026  0.974  0.250
Au  0.353  0.647  0.250
Au  0.647  0.353  0.750
Au  0.974  0.026  0.750


Here is a geometry-optimized PmAg2Au6 structure from the Alexandria database. Energies are from PBE.

Calculated values
Formation enthalpy at 0 K   -210 meV per atom
Energy   -3.557 eV per atom
Magnetization   0.0 μB/cell

Cell lengths 8.252, 8.252, 8.252 Å; angles 157.23, 122.05, 63.08 degrees
Fractional coordinates of all 9 atoms:
Pm  0.000  0.000  0.000
Ag  0.353  0.853  0.500
Ag  0.647  0.147  0.500
Au  0.000  0.325  0.676
Au  0.000  0.675  0.324
Au  0.327  0.500  0.827
Au  0.351  0.675  0.676
Au  0.649  0.325  0.324
Au  0.673  0.500  0.173


Here is a geometry-optimized Pm2Ag2Au15 structure from the Alexandria database. Energies are from PBE.

Calculated values
Formation enthalpy at 0 K   -255 meV per atom
Energy   -3.642 eV per atom
Magnetization   0.0 μB/cell

Cell lengths 7.336, 7.336, 7.336 Å; angles 81.29, 81.29, 81.29 degrees
Fractional coordinates of all 19 atoms:
Pm  0.155  0.155  0.155
Pm  0.845  0.845  0.845
Ag  0.401  0.401  0.401
Ag  0.599  0.599  0.599
Au  0.000  0.500  0.500
Au  0.144  0.144  0.657
Au  0.144  0.657  0.144
Au  0.196  0.500  0.804
Au  0.196  0.804  0.500
Au  0.343  0.856  0.856
Au  0.500  0.000  0.500
Au  0.500  0.196  0.804
Au  0.500  0.500  0.000
Au  0.500  0.804  0.196
Au  0.657  0.144  0.144
Au  0.804  0.196  0.500
Au  0.804  0.500  0.196
Au  0.856  0.343  0.856
Au  0.856  0.856  0.343


Here is a geometry-optimized PmAg2Au structure from the Alexandria database. Energies are from PBE.

Calculated values
Formation enthalpy at 0 K   -312 meV per atom
Energy   -3.745 eV per atom
Magnetization   0.0 μB/cell

Cell lengths 4.953, 4.953, 4.953 Å; angles 60.00, 60.00, 60.00 degrees
Fractional coordinates of all 4 atoms:
Pm  0.000  0.000  0.000
Ag  0.250  0.250  0.250
Ag  0.750  0.750  0.750
Au  0.500  0.500  0.500


Here is a geometry-optimized Pm3Ag2Au structure from the Alexandria database. Energies are from PBE.

Calculated values
Formation enthalpy at 0 K   -447 meV per atom
Energy   -4.319 eV per atom
Magnetization   0.0 μB/cell

Cell lengths 5.262, 5.262, 6.422 Å; angles 90.00, 90.00, 120.00 degrees
Fractional coordinates of all 6 atoms:
Pm  0.000  0.000  0.000
Pm  0.333  0.667  0.657
Pm  0.667  0.333  0.343
Ag  0.333  0.667  0.150
Ag  0.667  0.333  0.850
Au  0.000  0.000  0.500